--- P ---
A plane-wave DFT calculation with GGA-PBE was carried out for crystalline MnGeSe2Br at its relaxed geometry.

a = 5.0460 Å, b = 5.0460 Å, c = 5.1365 Å
α = 90.00°, β = 90.00°, γ = 90.00°
Closest atoms and distances in Å follow each position.
Fractional coordinates of all 5 atoms:
Se  0.5000  0.0000  0.0000  2 Ge 2.52
Br  0.0000  0.0000  0.5000  2 Ge 2.57
Se  0.0000  0.5000  0.0000  2 Ge 2.52
Mn  0.5000  0.5000  0.5000  4 Br 3.57, 8 Se 3.60
Ge  0.0000  0.0000  0.0000  4 Se 2.52, 2 Br 2.57

Summary:
The symmetry is No. 123.


--- Q ---
A plane-wave DFT calculation with GGA-PBE was carried out for crystalline MnGeSe2Br at its relaxed geometry.

a = 4.9582 Å, b = 4.9582 Å, c = 4.9352 Å
α = 90.00°, β = 90.00°, γ = 90.00°
Closest atoms and distances in Å follow each position.
Fractional coordinates of all 5 atoms:
Br  0.0000  0.0000  0.5000  2 Mn 2.47
Mn  0.0000  0.0000  0.0000  2 Br 2.47, 4 Se 2.48
Se  0.0000  0.5000  0.0000  2 Mn 2.48
Ge  0.5000  0.5000  0.5000  8 Se 3.50, 4 Br 3.51
Se  0.5000  0.0000  0.0000  2 Mn 2.48

Summary:
The symmetry is No. 123.


Which of them is the most stable? Correct choice: Q.